This record from Alexandria describes an optimized crystal structure of KZn12Ga7. The functional is PBE-GGA.

a b c (Å): 6.855 8.178 8.178
angles (deg): 112.51 106.23 106.23
Fractional positions:
Zn 0.946 0.343 0.343
Zn 0.397 0.343 0.000
Zn 0.054 0.657 0.657
Zn 0.739 0.478 0.739
Zn 0.261 0.522 0.261
Zn 0.000 0.739 0.261
Zn 0.000 0.261 0.739
Zn 0.603 0.000 0.657
Zn 0.261 0.261 0.522
Zn 0.603 0.657 0.000
Zn 0.739 0.739 0.478
Zn 0.397 0.000 0.343
Ga 0.208 0.000 0.656
Ga 0.552 0.344 0.344
Ga 0.792 0.344 0.000
Ga 0.208 0.656 0.000
Ga 0.792 0.000 0.344
Ga 0.448 0.656 0.656
Ga 0.500 0.000 0.000
K 0.000 0.000 0.000

Results
V: 18.30 Å³/atom
VASP energy: -1.81 eV per atom
DOS(E_F): 6.30 states/eV per cell
size of the total moment: 0.00 μB per formula unit
crystal system: trigonal